DFT (GGA+U) results for a relaxed structure of FeSnNF2.

Cell: 4.351 4.351 4.105 Å, 90.00 90.00 90.00°
Space group P4/mmm (No. 123)
Symmetry-distinct sites (fractional):
Fe: 0.000 0.000 0.000 [1 per cell]
Sn: 0.500 0.500 0.500 [1 per cell]
N: 0.500 0.500 0.000 [1 per cell]
F: 0.000 0.500 0.500 [2 per cell]

Calculated values
- Distance to the lowest polymorph of the same formula: 0.3824 eV per atom
- DOS(E_F): 0.291 states/eV per atom